Below is crystalline PrDyScZn at its relaxed geometry, with properties calculated at the PBE level.

Results
As for the density: 6.55 g/cm³. As for the calculated total energy: -4.25 eV per atom. For the density of states at the Fermi level, the calculation gives 1.175 states/eV per atom. The symmetry is F-43m, No. 216. The value obtained for the offset from the most stable computed form is 0.1438 eV per atom. The energy relative to the elements comes out at -0.005 eV per atom.

Cell lengths 5.2951, 5.2951, 5.2951 Å; angles 60.00, 60.00, 60.00 degrees
Closest atoms and distances in Å follow each position.
Element x y z (fractional)
Sc (0.0000, 0.0000, 0.0000)  4 Dy 3.24, 4 Pr 3.24
Zn (0.5000, 0.5000, 0.5000)  4 Dy 3.24, 4 Pr 3.24
Dy (0.7500, 0.7500, 0.7500)  4 Sc 3.24, 4 Zn 3.24
Pr (0.2500, 0.2500, 0.2500)  4 Sc 3.24, 4 Zn 3.24